No. 1
Entry from the Alexandria database: a relaxed TbTl4I7 crystal (GGA-PBE).

## Properties
crystal system = monoclinic
formation energy from raw total energies = -0.8599 eV per atom
DOS at the Fermi energy = 0.00 states/eV/cell

The structure in CIF format:
```
data_TbTl4I7
_space_group_name_H-M_alt 'C 1 2/m 1'
_space_group_IT_number 12
_cell_length_a 23.096
_cell_length_b 5.915
_cell_length_c 8.473
_cell_angle_alpha 90.00
_cell_angle_beta 107.31
_cell_angle_gamma 90.00
loop_
_space_group_symop_operation_xyz
'x,y,z'
'-x,-y,-z'
'-x,y,-z'
'x,-y,z'
'x+1/2,y+1/2,z'
'-x+1/2,-y+1/2,-z'
'-x+1/2,y+1/2,-z'
'x+1/2,-y+1/2,z'
loop_
_atom_site_label
_atom_site_type_symbol
_atom_site_fract_x
_atom_site_fract_y
_atom_site_fract_z
_atom_site_occupancy
Tb1 Tb 0.000 0.000 0.000 1
Tl1 Tl 0.083 0.500 0.644 1
Tl2 Tl 0.189 0.500 0.265 1
I1 I 0.000 0.500 0.000 1
I2 I 0.078 0.000 0.359 1
I3 I 0.115 0.000 0.893 1
I4 I 0.225 0.500 0.678 1
```

No. 2
Entry from the Alexandria database: a relaxed Tb2TlI crystal (GGA-PBE).

## Properties
crystal system = monoclinic
formation energy from raw total energies = -0.4929 eV per atom
excess energy over the best structure of this formula in the dataset = 0.362 kcal/mol of atoms
DOS at the Fermi energy = 4.80 states/eV/cell

The structure in CIF format:
```
data_Tb2TlI
_space_group_name_H-M_alt 'C 1 m 1'
_space_group_IT_number 8
_cell_length_a 6.389
_cell_length_b 4.706
_cell_length_c 8.263
_cell_angle_alpha 90.00
_cell_angle_beta 99.24
_cell_angle_gamma 90.00
loop_
_space_group_symop_operation_xyz
'x,y,z'
'x,-y,z'
'x+1/2,y+1/2,z'
'x+1/2,-y+1/2,z'
loop_
_atom_site_label
_atom_site_type_symbol
_atom_site_fract_x
_atom_site_fract_y
_atom_site_fract_z
_atom_site_occupancy
Tb1 Tb 0.000 0.000 0.000 1
Tb2 Tb 0.109 0.000 0.546 1
Tl1 Tl 0.062 0.500 0.775 1
I1 I 0.413 0.000 0.272 1
```

No. 3
Entry from the Alexandria database: a relaxed Tb7TlI12 crystal (GGA-PBE).

## Properties
crystal system = trigonal
formation energy from raw total energies = -1.1366 eV per atom
DOS at the Fermi energy = 34.93 states/eV/cell

The structure in CIF format:
```
data_Tb7TlI12
_space_group_name_H-M_alt 'R -3'
_space_group_IT_number 148
_space_group_name_Hall '-R 3'
_cell_length_a 15.9004
_cell_length_b 15.9004
_cell_length_c 10.4463
_cell_angle_alpha 90.00
_cell_angle_beta 90.00
_cell_angle_gamma 120.00
loop_
_atom_site_label
_atom_site_type_symbol
_atom_site_fract_x
_atom_site_fract_y
_atom_site_fract_z
_atom_site_occupancy
Tb1 Tb 0.0000 0.0000 0.0000 1
Tb2 Tb 0.0490 0.1684 0.3355 1
Tl1 Tl 0.0000 0.0000 0.5000 1
I1 I 0.0249 0.5882 0.1654 1
I2 I 0.0531 0.1855 0.8418 1
```

No. 4
Entry from the Alexandria database: a relaxed Tb6TlI8 crystal (GGA-PBE).

## Properties
crystal system = trigonal
formation energy from raw total energies = -0.9580 eV per atom
DOS at the Fermi energy = 24.17 states/eV/cell

The structure in CIF format:
```
data_Tb6TlI8
_space_group_name_H-M_alt 'R -3'
_space_group_IT_number 148
_space_group_name_Hall '-R 3'
_cell_length_a 7.5356
_cell_length_b 7.5356
_cell_length_c 34.4149
_cell_angle_alpha 90.00
_cell_angle_beta 90.00
_cell_angle_gamma 120.00
loop_
_atom_site_label
_atom_site_type_symbol
_atom_site_fract_x
_atom_site_fract_y
_atom_site_fract_z
_atom_site_occupancy
Tb1 Tb 0.0000 0.3242 0.4504 1
Tl1 Tl 0.0000 0.0000 0.5000 1
I1 I 0.0000 0.0000 0.1667 1
I2 I 0.9999 0.3365 0.6059 1
```

No. 5
Entry from the Alexandria database: a relaxed Tb2TlI crystal (GGA-PBE).

## Properties
crystal system = trigonal
formation energy from raw total energies = -0.4484 eV per atom
excess energy over the best structure of this formula in the dataset = 1.387 kcal/mol of atoms
DOS at the Fermi energy = 9.88 states/eV/cell

The structure in CIF format:
```
data_Tb2TlI
_space_group_name_H-M_alt 'R 3 m'
_space_group_IT_number 160
_space_group_name_Hall 'R 3 -2"'
_cell_length_a 4.4359
_cell_length_b 4.4359
_cell_length_c 23.0606
_cell_angle_alpha 90.00
_cell_angle_beta 90.00
_cell_angle_gamma 120.00
loop_
_atom_site_label
_atom_site_type_symbol
_atom_site_fract_x
_atom_site_fract_y
_atom_site_fract_z
_atom_site_occupancy
Tb1 Tb 0.0000 0.0000 0.0000 1
Tb2 Tb 0.0000 0.0000 0.1952 1
Tl1 Tl 0.0000 0.0000 0.5991 1
I1 I 0.0000 0.0000 0.4274 1
```

No. 6
Entry from the Alexandria database: a relaxed Tb2TlI crystal (GGA-PBE).

## Properties
crystal system = tetragonal
formation energy from raw total energies = -0.4658 eV per atom
excess energy over the best structure of this formula in the dataset = 0.986 kcal/mol of atoms
DOS at the Fermi energy = 4.19 states/eV/cell

The structure in CIF format:
```
data_Tb2TlI
_space_group_name_H-M_alt 'P 4/m m m'
_space_group_IT_number 123
_space_group_name_Hall '-P 4 2'
_cell_length_a 3.684
_cell_length_b 3.684
_cell_length_c 8.331
_cell_angle_alpha 90.00
_cell_angle_beta 90.00
_cell_angle_gamma 90.00
loop_
_atom_site_label
_atom_site_type_symbol
_atom_site_fract_x
_atom_site_fract_y
_atom_site_fract_z
_atom_site_occupancy
Tb1 Tb 0.000 0.000 0.238 1
Tl1 Tl 0.500 0.500 0.000 1
I1 I 0.500 0.500 0.500 1
```